(1)
A plane-wave DFT calculation with PBE was carried out for AcDy4Tl5 after structural relaxation.

Cell lengths 3.810, 3.810, 19.819 Å; angles 90.00, 90.00, 90.00 degrees
Space group P4/mmm (No. 123)
Asymmetric unit:
Ac  0.000  0.000  0.000 [1 per cell]
Dy  0.000  0.000  0.213 [2 per cell]
Dy  0.000  0.000  0.405 [2 per cell]
Tl  0.500  0.500  0.118 [2 per cell]
Tl  0.500  0.500  0.310 [2 per cell]
Tl  0.500  0.500  0.500 [1 per cell]

Output
energy of formation from the pure elements	-0.340	eV per atom


(2)
A plane-wave DFT calculation with PBE was carried out for Dy3Pb after structural relaxation.

Cell lengths 4.703, 4.703, 10.523 Å; angles 90.00, 90.00, 90.00 degrees
Space group I4/mmm (No. 139)
Asymmetric unit:
Dy  0.000  0.000  0.000 [2 per cell]
Dy  0.000  0.500  0.250 [4 per cell]
Pb  0.000  0.000  0.500 [2 per cell]

Output
energy of formation from the pure elements	-0.265	eV per atom


(3)
A plane-wave DFT calculation with PBE was carried out for CdAsS after structural relaxation.

Cell lengths 4.0035, 4.0035, 10.8178 Å; angles 90.00, 90.00, 120.00 degrees
Space group P3m1 (No. 156)
Asymmetric unit:
Cd  0.0000  0.0000  0.0000 [1 per cell]
Cd  0.3333  0.6667  0.3305 [1 per cell]
As  0.0000  0.0000  0.7499 [1 per cell]
As  0.3333  0.6667  0.6369 [1 per cell]
S  0.3333  0.6667  0.0932 [1 per cell]
S  0.6667  0.3333  0.4313 [1 per cell]

Output
distance to the lowest polymorph of the same formula	0.051	eV/f.u.


(4)
A plane-wave DFT calculation with PBE was carried out for KBeRuO4 after structural relaxation.

Cell lengths 4.959, 5.311, 6.857 Å; angles 90.00, 101.46, 90.00 degrees
Space group P2_1/m (No. 11)
Asymmetric unit:
K  0.211  0.250  0.074 [2 per cell]
Be  0.369  0.250  0.652 [2 per cell]
Ru  0.170  0.750  0.459 [2 per cell]
O  0.137  0.016  0.666 [4 per cell]
O  0.326  0.750  0.213 [2 per cell]
O  0.449  0.250  0.438 [2 per cell]

Output
uncorrected energy	-6.29	eV per atom


(5)
A plane-wave DFT calculation with PBE was carried out for AcCe3P4N12 after structural relaxation.

Cell lengths 11.0249, 11.0249, 9.0059 Å; angles 90.00, 90.00, 120.00 degrees
Space group R32 (No. 155, hexagonal axes)
Asymmetric unit:
Ac  0.0000  0.0000  0.0000 [3 per cell]
Ce  0.0000  0.5435  0.0000 [9 per cell]
P  0.0000  0.0000  0.5000 [3 per cell]
P  0.0000  0.4540  0.5000 [9 per cell]
N  0.0000  0.5980  0.5000 [9 per cell]
N  0.0000  0.8567  0.5000 [9 per cell]
N  0.0185  0.2057  0.1759 [18 per cell]

Output
uncorrected energy	-7.93	eV per atom


(6)
A plane-wave DFT calculation with PBE was carried out for Sm3Th2Sc2 after structural relaxation.

Cell lengths 11.007, 4.967, 7.910 Å; angles 90.00, 98.18, 90.00 degrees
Space group C2/m (No. 12)
Asymmetric unit:
Sm  0.000  0.000  0.000 [2 per cell]
Sm  0.143  0.000  0.431 [4 per cell]
Th  0.215  0.500  0.140 [4 per cell]
Sc  0.076  0.500  0.716 [4 per cell]

Output
energy of formation from the pure elements	0.058	eV per atom


(7)
A plane-wave DFT calculation with PBE was carried out for Sr3Ag5Te12 after structural relaxation.

Cell lengths 17.644, 17.644, 17.644 Å; angles 90.00, 90.00, 90.00 degrees
Space group Ia-3d (No. 230)
Asymmetric unit:
Sr  0.000  0.250  0.125 [24 per cell]
Ag  0.000  0.000  0.000 [16 per cell]
Ag  0.000  0.250  0.375 [24 per cell]
Te  0.023  0.060  0.647 [96 per cell]

Output
uncorrected energy	-3.14	eV per atom


(8)
A plane-wave DFT calculation with PBE was carried out for K2PuZnO4 after structural relaxation.

Cell lengths 5.618, 3.488, 6.505 Å; angles 90.00, 106.89, 90.00 degrees
Space group P2/m (No. 10)
Asymmetric unit:
K  0.000  0.000  0.000 [1 per cell]
K  0.500  0.500  0.000 [1 per cell]
Pu  0.000  0.500  0.500 [1 per cell]
Zn  0.500  0.000  0.500 [1 per cell]
O  0.232  0.000  0.688 [2 per cell]
O  0.262  0.500  0.313 [2 per cell]

Output
uncorrected energy	-6.66	eV per atom


(9)
A plane-wave DFT calculation with PBE was carried out for Mg2Cd2SiPd4 after structural relaxation.

Cell lengths 6.152, 6.152, 8.537 Å; angles 90.00, 90.00, 90.00 degrees
Space group I4/mmm (No. 139)
Asymmetric unit:
Mg  0.000  0.000  0.200 [4 per cell]
Cd  0.000  0.500  0.250 [4 per cell]
Si  0.000  0.000  0.500 [2 per cell]
Pd  0.237  0.237  0.000 [8 per cell]

Output
uncorrected energy	-3.83	eV per atom


(10)
A plane-wave DFT calculation with PBE was carried out for Li5Cd2InHg2 after structural relaxation.

Cell lengths 10.837, 10.837, 3.444 Å; angles 90.00, 90.00, 90.00 degrees
Space group P4/mbm (No. 127)
Asymmetric unit:
Li  0.000  0.500  0.000 [2 per cell]
Li  0.018  0.208  0.000 [8 per cell]
Cd  0.166  0.666  0.500 [4 per cell]
In  0.000  0.000  0.500 [2 per cell]
Hg  0.141  0.359  0.500 [4 per cell]

Output
energy of formation from the pure elements	-0.202	eV per atom


(11)
A plane-wave DFT calculation with PBE was carried out for TmZrPa2 after structural relaxation.

Cell lengths 3.164, 3.164, 10.196 Å; angles 90.00, 90.00, 90.00 degrees
Space group P4/mmm (No. 123)
Asymmetric unit:
Tm  0.000  0.000  0.000 [1 per cell]
Zr  0.000  0.000  0.500 [1 per cell]
Pa  0.500  0.500  0.259 [2 per cell]

Output
distance to the lowest polymorph of the same formula	0.206	eV/f.u.
energy of formation from the pure elements	0.175	eV per atom


(12)
A plane-wave DFT calculation with PBE was carried out for CuAs3I after structural relaxation.

Cell lengths 4.831, 4.831, 4.831 Å; angles 90.00, 90.00, 90.00 degrees
Space group Pm-3m (No. 221)
Asymmetric unit:
Cu  0.000  0.000  0.000 [1 per cell]
As  0.000  0.000  0.500 [3 per cell]
I  0.500  0.500  0.500 [1 per cell]

Output
distance to the lowest polymorph of the same formula	0.000	eV/f.u.


(13)
A plane-wave DFT calculation with PBE was carried out for TiSbTe after structural relaxation.

Cell lengths 7.380, 7.333, 5.774 Å; angles 90.00, 112.97, 90.00 degrees
Space group P2_1/c (No. 14)
Asymmetric unit:
Ti  0.229  0.067  0.115 [4 per cell]
Sb  0.093  0.750  0.296 [4 per cell]
Te  0.392  0.091  0.696 [4 per cell]

Output
uncorrected energy	-5.44	eV per atom


(14)
A plane-wave DFT calculation with PBE was carried out for NdHRh after structural relaxation.

Cell lengths 3.976, 3.976, 7.077 Å; angles 90.00, 90.00, 90.00 degrees
Space group I4mm (No. 107)
Asymmetric unit:
Nd  0.000  0.000  0.000 [2 per cell]
H  0.000  0.000  0.669 [2 per cell]
Rh  0.000  0.000  0.439 [2 per cell]

Output
distance to the lowest polymorph of the same formula	1.033	eV/f.u.


(15)
A plane-wave DFT calculation with PBE was carried out for CrWCl2 after structural relaxation.

Cell lengths 2.947, 5.669, 10.167 Å; angles 90.00, 90.00, 90.00 degrees
Space group Cmmm (No. 65)
Asymmetric unit:
Cr  0.000  0.000  0.000 [2 per cell]
W  0.000  0.000  0.500 [2 per cell]
Cl  0.000  0.500  0.307 [4 per cell]

Output
distance to the lowest polymorph of the same formula	3.044	eV/f.u.


(16)
A plane-wave DFT calculation with PBE was carried out for Zr2BSbS after structural relaxation.

Cell lengths 5.386, 5.386, 4.068 Å; angles 90.00, 90.00, 90.00 degrees
Space group P4/mmm (No. 123)
Asymmetric unit:
Zr  0.000  0.500  0.000 [2 per cell]
B  0.000  0.000  0.500 [1 per cell]
Sb  0.000  0.000  0.000 [1 per cell]
S  0.500  0.500  0.500 [1 per cell]

Output
uncorrected energy	-5.43	eV per atom


(17)
A plane-wave DFT calculation with PBE was carried out for NdTlPt10 after structural relaxation.

Cell lengths 4.424, 5.450, 9.343 Å; angles 90.00, 90.00, 90.00 degrees
Space group Pmmm (No. 47)
Asymmetric unit:
Nd  0.000  0.000  0.000 [1 per cell]
Tl  0.000  0.500  0.500 [1 per cell]
Pt  0.000  0.000  0.337 [2 per cell]
Pt  0.000  0.500  0.173 [2 per cell]
Pt  0.500  0.000  0.500 [1 per cell]
Pt  0.500  0.246  0.245 [4 per cell]
Pt  0.500  0.500  0.000 [1 per cell]

Output
energy of formation from the pure elements	-0.361	eV per atom


(18)
A plane-wave DFT calculation with PBE was carried out for BeSb2W after structural relaxation.

Cell lengths 4.047, 4.047, 9.211 Å; angles 90.00, 90.00, 90.00 degrees
Space group I-4m2 (No. 119)
Asymmetric unit:
Be  0.000  0.000  0.000 [2 per cell]
Sb  0.000  0.000  0.500 [2 per cell]
Sb  0.000  0.500  0.750 [2 per cell]
W  0.000  0.500  0.250 [2 per cell]

Output
uncorrected energy	-5.30	eV per atom


(19)
A plane-wave DFT calculation with PBE was carried out for NdEr2Pu after structural relaxation.

Cell lengths 3.5334, 3.5334, 34.3382 Å; angles 90.00, 90.00, 120.00 degrees
Space group R3m (No. 160, hexagonal axes)
Asymmetric unit:
Nd  0.0000  0.0000  0.0000 [3 per cell]
Er  0.0000  0.0000  0.2480 [3 per cell]
Er  0.0000  0.0000  0.4200 [3 per cell]
Pu  0.0000  0.0000  0.8344 [3 per cell]

Output
distance to the lowest polymorph of the same formula	0.031	eV/f.u.
energy of formation from the pure elements	0.106	eV per atom


(20)
A plane-wave DFT calculation with PBE was carried out for HoTlAgPb after structural relaxation.

Cell lengths 4.453, 4.628, 4.834 Å; angles 90.00, 90.00, 90.00 degrees
Space group Pmmm (No. 47)
Asymmetric unit:
Ho  0.000  0.000  0.000 [1 per cell]
Tl  0.500  0.000  0.500 [1 per cell]
Ag  0.000  0.500  0.500 [1 per cell]
Pb  0.500  0.500  0.000 [1 per cell]

Output
distance to the lowest polymorph of the same formula	0.000	eV/f.u.
energy of formation from the pure elements	-0.231	eV per atom


(21)
A plane-wave DFT calculation with PBE was carried out for Tm3PuSb4 after structural relaxation.

Cell lengths 8.715, 12.322, 4.367 Å; angles 90.00, 90.00, 90.00 degrees
Space group Cmmm (No. 65)
Asymmetric unit:
Tm  0.000  0.000  0.000 [2 per cell]
Tm  0.250  0.250  0.500 [4 per cell]
Pu  0.000  0.500  0.000 [2 per cell]
Sb  0.000  0.248  0.000 [4 per cell]
Sb  0.247  0.000  0.500 [4 per cell]

Output
distance to the lowest polymorph of the same formula	0.021	eV/f.u.